Entry from Alexandria: an optimized crystal structure of Tm7PuTl4 (GGA-PBE).

Summary:
density of states at the Fermi level = 1.272 states/eV per atom
formation energy = 37.1 kJ/mol of formula units

a = 14.742 Å, b = 5.667 Å, c = 9.520 Å
α = 90.00°, β = 120.52°, γ = 90.00°
Space group C2/m (No. 12)
Unique sites:
Tm (0.000, 0.000, 0.000) (multiplicity 2)
Tm (0.071, 0.500, 0.408) (multiplicity 4)
Tm (0.196, 0.500, 0.879) (multiplicity 4)
Tm (0.245, 0.500, 0.285) (multiplicity 4)
Pu (0.000, 0.500, 0.000) (multiplicity 2)
Tl (0.052, 0.000, 0.711) (multiplicity 4)
Tl (0.184, 0.000, 0.342) (multiplicity 4)

---

Entry from Alexandria: an optimized crystal structure of TmPuTl (GGA-PBE).

Summary:
density of states at the Fermi level = 2.365 states/eV per atom
formation energy = 116.5 kJ/mol of formula units
energy above the most stable polymorph in this dataset = 1.172 eV/f.u.

a = 3.189 Å, b = 3.189 Å, c = 17.604 Å
α = 90.00°, β = 90.00°, γ = 90.00°
Space group I4mm (No. 107)
Unique sites:
Tm (0.000, 0.000, 0.000) (multiplicity 2)
Pu (0.000, 0.000, 0.180) (multiplicity 2)
Tl (0.000, 0.000, 0.360) (multiplicity 2)

---

Entry from Alexandria: an optimized crystal structure of TmPu4Tl5 (GGA-PBE).

Summary:
density of states at the Fermi level = 3.064 states/eV per atom
formation energy = -72.2 kJ/mol of formula units

a = 3.367 Å, b = 3.367 Å, c = 23.609 Å
α = 90.00°, β = 90.00°, γ = 90.00°
Space group P4/mmm (No. 123)
Unique sites:
Tm (0.000, 0.000, 0.000) (multiplicity 1)
Pu (0.000, 0.000, 0.196) (multiplicity 2)
Pu (0.000, 0.000, 0.399) (multiplicity 2)
Tl (0.500, 0.500, 0.095) (multiplicity 2)
Tl (0.500, 0.500, 0.297) (multiplicity 2)
Tl (0.500, 0.500, 0.500) (multiplicity 1)

---

Entry from Alexandria: an optimized crystal structure of TmPu2Tl (GGA-PBE).

Summary:
density of states at the Fermi level = 2.567 states/eV per atom
formation energy = -16.2 kJ/mol of formula units
energy above the most stable polymorph in this dataset = 0.000 eV/f.u.

a = 4.515 Å, b = 4.515 Å, c = 5.179 Å
α = 90.00°, β = 90.00°, γ = 90.00°
Space group P4/mmm (No. 123)
Unique sites:
Tm (0.000, 0.000, 0.000) (multiplicity 1)
Pu (0.000, 0.500, 0.500) (multiplicity 2)
Tl (0.500, 0.500, 0.000) (multiplicity 1)

---

Entry from Alexandria: an optimized crystal structure of TmPu2Tl (GGA-PBE).

Summary:
density of states at the Fermi level = 3.509 states/eV per atom
formation energy = 68.1 kJ/mol of formula units
energy above the most stable polymorph in this dataset = 0.873 eV/f.u.

a = 7.625 Å, b = 7.625 Å, c = 7.625 Å
α = 90.00°, β = 90.00°, γ = 90.00°
Space group Fm-3m (No. 225)
Unique sites:
Tm (0.000, 0.000, 0.000) (multiplicity 4)
Pu (0.250, 0.250, 0.250) (multiplicity 8)
Tl (0.000, 0.000, 0.500) (multiplicity 4)

---

Entry from Alexandria: an optimized crystal structure of TmPu5Tl6 (GGA-PBE).

Summary:
density of states at the Fermi level = 5.482 states/eV per atom
formation energy = 27.9 kJ/mol of formula units

a = 4.901 Å, b = 9.083 Å, c = 14.725 Å
α = 90.00°, β = 90.00°, γ = 90.00°
Space group Immm (No. 71)
Unique sites:
Tm (0.000, 0.000, 0.000) (multiplicity 2)
Pu (0.000, 0.000, 0.331) (multiplicity 4)
Pu (0.000, 0.500, 0.000) (multiplicity 2)
Pu (0.000, 0.500, 0.324) (multiplicity 4)
Tl (0.000, 0.246, 0.163) (multiplicity 8)
Tl (0.000, 0.256, 0.500) (multiplicity 4)

---

Look up the density of states at the Fermi level of the sixth one. 5.482 states/eV per atom

---

The lowest density of states at the Fermi level belongs to which entry? Tm7PuTl4

---

Please write out number 3 again, unchanged.
Entry from Alexandria: an optimized crystal structure of TmPu4Tl5 (GGA-PBE).

Summary:
density of states at the Fermi level = 3.064 states/eV per atom
formation energy = -72.2 kJ/mol of formula units

a = 3.367 Å, b = 3.367 Å, c = 23.609 Å
α = 90.00°, β = 90.00°, γ = 90.00°
Space group P4/mmm (No. 123)
Unique sites:
Tm (0.000, 0.000, 0.000) (multiplicity 1)
Pu (0.000, 0.000, 0.196) (multiplicity 2)
Pu (0.000, 0.000, 0.399) (multiplicity 2)
Tl (0.500, 0.500, 0.095) (multiplicity 2)
Tl (0.500, 0.500, 0.297) (multiplicity 2)
Tl (0.500, 0.500, 0.500) (multiplicity 1)